1.
3
Lattice="0.0000 3.4814 3.4814 3.4814 0.0000 3.4814 3.4814 3.4814 0.0000" Properties=species:S:1:pos:R:3 comment="LaZrSc | Alexandria via LeMat-Bulk | SCAN | single point on PBEsol structure" volume_a3_per_atom=28.13 space_group="No. 216" e_above_lowest_polymorph_mev_per_atom=784 formation_energy_ev_per_atom=0.963 dos_ef_per_ev_atom=0.34 magnetic_moment_mub_per_atom=0.74 total_energy_ev_per_atom=-28.384 pbc="T T T"
La 0.0000 0.0000 0.0000
Zr 1.7407 1.7407 1.7407
Sc 5.2221 5.2221 5.2221

***

2.
3
Lattice="5.2698 0.0000 0.0000 -2.6349 4.5637 0.0000 0.0000 0.0000 3.2543" Properties=species:S:1:pos:R:3 comment="LaZrSc | Alexandria via LeMat-Bulk | SCAN | single point on PBEsol structure" volume_a3_per_atom=26.09 space_group="No. 187" e_above_lowest_polymorph_mev_per_atom=0 formation_energy_ev_per_atom=0.179 dos_ef_per_ev_atom=1.24 magnetic_moment_mub_per_atom=0.00 total_energy_ev_per_atom=-29.168 pbc="T T T"
La 0.0000 0.0000 0.0000
Zr 0.0000 3.0425 1.6272
Sc 2.6349 1.5212 1.6272

***

3.
3
Lattice="-1.9254 1.9254 5.1567 1.9254 -1.9254 5.1567 1.9254 1.9254 -5.1567" Properties=species:S:1:pos:R:3 comment="LaZrSc | Alexandria via LeMat-Bulk | SCAN | single point on PBEsol structure" volume_a3_per_atom=25.49 space_group="No. 107" e_above_lowest_polymorph_mev_per_atom=29 formation_energy_ev_per_atom=0.208 dos_ef_per_ev_atom=1.33 magnetic_moment_mub_per_atom=0.00 total_energy_ev_per_atom=-29.139 pbc="T T T"
La 0.0000 0.0000 0.0000
Zr 0.0000 0.0000 3.3174
Sc 0.0000 0.0000 6.9989

***

4.
5
Lattice="5.0614 0.0000 0.0000 -2.5307 4.3833 0.0000 0.0000 0.0000 6.2408" Properties=species:S:1:pos:R:3 comment="La3Se2 | Alexandria via LeMat-Bulk | SCAN | single point on PBEsol structure" volume_a3_per_atom=27.69 space_group="No. 164" formation_energy_uncorrected_mev_per_atom=-1476 dos_ef_per_ev_atom=0.68 magnetic_moment_mub_per_atom=0.33 total_energy_ev_per_atom=-35.371 pbc="T T T"
La 0.0000 0.0000 0.0000
La 0.0000 2.9222 2.0474
La 2.5307 1.4611 4.1934
Se 0.0000 2.9222 5.0992
Se 2.5307 1.4611 1.1416

***

Copy entry 4 word for word.
5
Lattice="5.0614 0.0000 0.0000 -2.5307 4.3833 0.0000 0.0000 0.0000 6.2408" Properties=species:S:1:pos:R:3 comment="La3Se2 | Alexandria via LeMat-Bulk | SCAN | single point on PBEsol structure" volume_a3_per_atom=27.69 space_group="No. 164" formation_energy_uncorrected_mev_per_atom=-1476 dos_ef_per_ev_atom=0.68 magnetic_moment_mub_per_atom=0.33 total_energy_ev_per_atom=-35.371 pbc="T T T"
La 0.0000 0.0000 0.0000
La 0.0000 2.9222 2.0474
La 2.5307 1.4611 4.1934
Se 0.0000 2.9222 5.0992
Se 2.5307 1.4611 1.1416